(1)
# Cr2MoCl, optimized geometry, DFT PBE-GGA
# - calculated total energy (eV per atom) = -7.57
# - E above lowest polymorph (meV per atom) = 209
# - formation energy without anion corrections (eV/atom) = 0.41
data_Cr2MoCl
_chemical_formula_sum 'Cr2 Mo1 Cl1'
_symmetry_space_group_name_H-M 'P 1 m 1'
_symmetry_Int_Tables_number 6
_cell_length_a 3.4262
_cell_length_b 3.0152
_cell_length_c 6.4449
_cell_angle_alpha 90.00
_cell_angle_beta 102.42
_cell_angle_gamma 90.00
loop_
_symmetry_equiv_pos_as_xyz
'x,y,z'
'x,-y,z'
loop_
_atom_site_label
_atom_site_type_symbol
_atom_site_fract_x
_atom_site_fract_y
_atom_site_fract_z
_atom_site_occupancy
Cr1 Cr 0.0000 0.0000 0.0000 1
Cr2 Cr 0.4503 0.5000 0.8539 1
Mo1 Mo 0.8660 0.0000 0.6519 1
Cl1 Cl 0.7136 0.5000 0.2585 1

(2)
# Cr2MoCl, optimized geometry, DFT PBE-GGA
# - calculated total energy (eV per atom) = -7.03
# - E above lowest polymorph (meV per atom) = 749
# - formation energy without anion corrections (eV/atom) = 0.95
data_Cr2MoCl
_chemical_formula_sum 'Cr4 Mo2 Cl2'
_symmetry_space_group_name_H-M 'I 4/m m m'
_symmetry_Int_Tables_number 139
_symmetry_space_group_name_Hall '-I 4 2'
_cell_length_a 4.1276
_cell_length_b 4.1276
_cell_length_c 7.2901
_cell_angle_alpha 90.00
_cell_angle_beta 90.00
_cell_angle_gamma 90.00
loop_
_atom_site_label
_atom_site_type_symbol
_atom_site_fract_x
_atom_site_fract_y
_atom_site_fract_z
_atom_site_occupancy
Cr1 Cr 0.0000 0.5000 0.2500 1
Mo1 Mo 0.0000 0.0000 0.0000 1
Cl1 Cl 0.0000 0.0000 0.5000 1

(3)
# Cr2MoCl, optimized geometry, DFT PBE-GGA
# - calculated total energy (eV per atom) = -7.55
# - E above lowest polymorph (meV per atom) = 231
# - formation energy without anion corrections (eV/atom) = 0.43
data_Cr2MoCl
_chemical_formula_sum 'Cr2 Mo1 Cl1'
_symmetry_space_group_name_H-M 'P m m 2'
_symmetry_Int_Tables_number 25
_cell_length_a 3.0643
_cell_length_b 3.3874
_cell_length_c 6.8313
_cell_angle_alpha 90.00
_cell_angle_beta 90.00
_cell_angle_gamma 90.00
loop_
_symmetry_equiv_pos_as_xyz
'x,y,z'
'-x,-y,z'
'-x,y,z'
'x,-y,z'
loop_
_atom_site_label
_atom_site_type_symbol
_atom_site_fract_x
_atom_site_fract_y
_atom_site_fract_z
_atom_site_occupancy
Cr1 Cr 0.0000 0.0000 0.0000 1
Cr2 Cr 0.5000 0.5000 0.1409 1
Mo1 Mo 0.0000 0.0000 0.3155 1
Cl1 Cl 0.5000 0.5000 0.7846 1

(4)
# CrMo2Cl, optimized geometry, DFT PBE-GGA
# - calculated total energy (eV per atom) = -7.36
# - E above lowest polymorph (meV per atom) = 693
# - formation energy without anion corrections (eV/atom) = 0.92
data_CrMo2Cl
_chemical_formula_sum 'Cr1 Mo2 Cl1'
_symmetry_space_group_name_H-M 'P 4/m m m'
_symmetry_Int_Tables_number 123
_symmetry_space_group_name_Hall '-P 4 2'
_cell_length_a 3.6367
_cell_length_b 3.6367
_cell_length_c 4.8645
_cell_angle_alpha 90.00
_cell_angle_beta 90.00
_cell_angle_gamma 90.00
loop_
_atom_site_label
_atom_site_type_symbol
_atom_site_fract_x
_atom_site_fract_y
_atom_site_fract_z
_atom_site_occupancy
Cr1 Cr 0.0000 0.0000 0.0000 1
Mo1 Mo 0.0000 0.5000 0.5000 1
Cl1 Cl 0.5000 0.5000 0.0000 1

(5)
# CrMo2Cl, optimized geometry, DFT PBE-GGA
# - calculated total energy (eV per atom) = -7.66
# - E above lowest polymorph (meV per atom) = 399
# - formation energy without anion corrections (eV/atom) = 0.63
data_CrMo2Cl
_chemical_formula_sum 'Cr2 Mo4 Cl2'
_symmetry_space_group_name_H-M 'C 1 m 1'
_symmetry_Int_Tables_number 8
_cell_length_a 9.6556
_cell_length_b 2.9669
_cell_length_c 4.4142
_cell_angle_alpha 90.00
_cell_angle_beta 107.19
_cell_angle_gamma 90.00
loop_
_symmetry_equiv_pos_as_xyz
'x,y,z'
'x,-y,z'
'x+1/2,y+1/2,z'
'x+1/2,-y+1/2,z'
loop_
_atom_site_label
_atom_site_type_symbol
_atom_site_fract_x
_atom_site_fract_y
_atom_site_fract_z
_atom_site_occupancy
Cr1 Cr 0.0000 0.0000 0.0000 1
Mo1 Mo 0.2177 0.5000 0.0840 1
Mo2 Mo 0.4962 0.0000 0.4325 1
Cl1 Cl 0.2947 0.0000 0.6979 1

(6)
# CrMo2Cl, optimized geometry, DFT PBE-GGA
# - calculated total energy (eV per atom) = -7.86
# - E above lowest polymorph (meV per atom) = 196
# - formation energy without anion corrections (eV/atom) = 0.42
data_CrMo2Cl
_chemical_formula_sum 'Cr1 Mo2 Cl1'
_symmetry_space_group_name_H-M 'P 1 m 1'
_symmetry_Int_Tables_number 6
_cell_length_a 3.6572
_cell_length_b 3.1196
_cell_length_c 6.4882
_cell_angle_alpha 90.00
_cell_angle_beta 101.75
_cell_angle_gamma 90.00
loop_
_symmetry_equiv_pos_as_xyz
'x,y,z'
'x,-y,z'
loop_
_atom_site_label
_atom_site_type_symbol
_atom_site_fract_x
_atom_site_fract_y
_atom_site_fract_z
_atom_site_occupancy
Cr1 Cr 0.0000 0.0000 0.0000 1
Mo1 Mo 0.4568 0.5000 0.8523 1
Mo2 Mo 0.8843 0.0000 0.6513 1
Cl1 Cl 0.7598 0.5000 0.2630 1

(7)
# CrMo2Cl, optimized geometry, DFT PBE-GGA
# - calculated total energy (eV per atom) = -7.86
# - E above lowest polymorph (meV per atom) = 196
# - formation energy without anion corrections (eV/atom) = 0.42
data_CrMo2Cl
_chemical_formula_sum 'Cr3 Mo6 Cl3'
_symmetry_space_group_name_H-M 'R -3 m'
_symmetry_Int_Tables_number 166
_symmetry_space_group_name_Hall '-R 3 2"'
_cell_length_a 2.9386
_cell_length_b 2.9386
_cell_length_c 24.3586
_cell_angle_alpha 90.00
_cell_angle_beta 90.00
_cell_angle_gamma 120.00
loop_
_atom_site_label
_atom_site_type_symbol
_atom_site_fract_x
_atom_site_fract_y
_atom_site_fract_z
_atom_site_occupancy
Cr1 Cr 0.0000 0.0000 0.0000 1
Mo1 Mo 0.0000 0.0000 0.2556 1
Cl1 Cl 0.0000 0.0000 0.5000 1

(8)
# CrMo3Cl, optimized geometry, DFT PBE-GGA
# - calculated total energy (eV per atom) = -7.18
# - E above lowest polymorph (meV per atom) = 271
# - formation energy without anion corrections (eV/atom) = 1.61
data_CrMo3Cl
_chemical_formula_sum 'Cr1 Mo3 Cl1'
_symmetry_space_group_name_H-M 'P m -3 m'
_symmetry_Int_Tables_number 221
_symmetry_space_group_name_Hall '-P 4 2 3'
_cell_length_a 4.5604
_cell_length_b 4.5604
_cell_length_c 4.5604
_cell_angle_alpha 90.00
_cell_angle_beta 90.00
_cell_angle_gamma 90.00
loop_
_atom_site_label
_atom_site_type_symbol
_atom_site_fract_x
_atom_site_fract_y
_atom_site_fract_z
_atom_site_occupancy
Cr1 Cr 0.0000 0.0000 0.0000 1
Mo1 Mo 0.0000 0.0000 0.5000 1
Cl1 Cl 0.5000 0.5000 0.5000 1

(9)
# CrMo2Cl, optimized geometry, DFT PBE-GGA
# - calculated total energy (eV per atom) = -7.61
# - E above lowest polymorph (meV per atom) = 445
# - formation energy without anion corrections (eV/atom) = 0.67
data_CrMo2Cl
_chemical_formula_sum 'Cr2 Mo4 Cl2'
_symmetry_space_group_name_H-M 'I m m m'
_symmetry_Int_Tables_number 71
_symmetry_space_group_name_Hall '-I 2 2'
_cell_length_a 2.9300
_cell_length_b 4.4579
_cell_length_c 9.1602
_cell_angle_alpha 90.00
_cell_angle_beta 90.00
_cell_angle_gamma 90.00
loop_
_atom_site_label
_atom_site_type_symbol
_atom_site_fract_x
_atom_site_fract_y
_atom_site_fract_z
_atom_site_occupancy
Cr1 Cr 0.0000 0.0000 0.0000 1
Mo1 Mo 0.0000 0.5000 0.2272 1
Cl1 Cl 0.0000 0.0000 0.5000 1

(10)
# Cr2MoCl, optimized geometry, DFT PBE-GGA
# - calculated total energy (eV per atom) = -7.20
# - E above lowest polymorph (meV per atom) = 581
# - formation energy without anion corrections (eV/atom) = 0.78
data_Cr2MoCl
_chemical_formula_sum 'Cr4 Mo2 Cl2'
_symmetry_space_group_name_H-M 'C 1 2/m 1'
_symmetry_Int_Tables_number 12
_cell_length_a 5.2755
_cell_length_b 8.3120
_cell_length_c 2.8301
_cell_angle_alpha 90.00
_cell_angle_beta 115.52
_cell_angle_gamma 90.00
loop_
_symmetry_equiv_pos_as_xyz
'x,y,z'
'-x,-y,-z'
'-x,y,-z'
'x,-y,z'
'x+1/2,y+1/2,z'
'-x+1/2,-y+1/2,-z'
'-x+1/2,y+1/2,-z'
'x+1/2,-y+1/2,z'
loop_
_atom_site_label
_atom_site_type_symbol
_atom_site_fract_x
_atom_site_fract_y
_atom_site_fract_z
_atom_site_occupancy
Cr1 Cr 0.2500 0.2500 0.0000 1
Mo1 Mo 0.0000 0.0000 0.5000 1
Cl1 Cl 0.0000 0.5000 0.5000 1

(11)
# Cr3MoCl, optimized geometry, DFT PBE-GGA
# - calculated total energy (eV per atom) = -6.95
# - E above lowest polymorph (meV per atom) = 385
# - formation energy without anion corrections (eV/atom) = 1.36
data_Cr3MoCl
_chemical_formula_sum 'Cr3 Mo1 Cl1'
_symmetry_space_group_name_H-M 'P m -3 m'
_symmetry_Int_Tables_number 221
_symmetry_space_group_name_Hall '-P 4 2 3'
_cell_length_a 4.8193
_cell_length_b 4.8193
_cell_length_c 4.8193
_cell_angle_alpha 90.00
_cell_angle_beta 90.00
_cell_angle_gamma 90.00
loop_
_atom_site_label
_atom_site_type_symbol
_atom_site_fract_x
_atom_site_fract_y
_atom_site_fract_z
_atom_site_occupancy
Cr1 Cr 0.0000 0.0000 0.5000 1
Mo1 Mo 0.0000 0.0000 0.0000 1
Cl1 Cl 0.5000 0.5000 0.5000 1

(12)
# CrMoCl, optimized geometry, DFT PBE-GGA
# - calculated total energy (eV per atom) = -6.81
# - E above lowest polymorph (meV per atom) = 434
# - formation energy without anion corrections (eV/atom) = 0.62
data_CrMoCl
_chemical_formula_sum 'Cr1 Mo1 Cl1'
_symmetry_space_group_name_H-M 'P 3 m 1'
_symmetry_Int_Tables_number 156
_cell_length_a 4.1367
_cell_length_b 4.1367
_cell_length_c 2.8636
_cell_angle_alpha 90.00
_cell_angle_beta 90.00
_cell_angle_gamma 120.00
loop_
_symmetry_equiv_pos_as_xyz
'x,y,z'
'-y,x-y,z'
'-x+y,-x,z'
'-y,-x,z'
'-x+y,y,z'
'x,x-y,z'
loop_
_atom_site_label
_atom_site_type_symbol
_atom_site_fract_x
_atom_site_fract_y
_atom_site_fract_z
_atom_site_occupancy
Cr1 Cr 0.0000 0.0000 0.0000 1
Mo1 Mo 0.6667 0.3333 0.6146 1
Cl1 Cl 0.3333 0.6667 0.8987 1